--- w ---
The following is a GGA-PBE calculation of a relaxed BeV2Ru4 crystal, from the Alexandria database.

Output
The calculation puts the total magnetization at 0.000 Bohr magnetons per cell. As for the density: 8.576 g/cm3. The space group is I4/mmm (139).

Unit cell a=6.649 b=6.649 c=6.649 alpha=144.26 beta=144.26 gamma=51.44
Fractional positions:
Be: 0.000 0.000 0.000
V: 0.364 0.364 0.000
V: 0.636 0.636 0.000
Ru: 0.000 0.500 0.500
Ru: 0.181 0.181 0.000
Ru: 0.500 0.000 0.500
Ru: 0.819 0.819 0.000

---

--- x ---
The following is a GGA-PBE calculation of a relaxed BeV2Ru4 crystal, from the Alexandria database.

Output
The calculation puts the total magnetization at 0.001 Bohr magnetons per cell. As for the density: 8.832 g/cm3. The space group is R-3m (166).

Unit cell a=7.063 b=7.063 c=7.063 alpha=33.74 beta=33.74 gamma=33.74
Fractional positions:
Be: 0.000 0.000 0.000
V: 0.251 0.251 0.251
V: 0.749 0.749 0.749
Ru: 0.127 0.127 0.127
Ru: 0.376 0.376 0.376
Ru: 0.624 0.624 0.624
Ru: 0.873 0.873 0.873

---

Q: Which of them is the most stable? A: x.